Si2OsCl | PBE | optimized geometry

VASP energy (eV/atom): -5.979
Symmetry: Pmmm (47)
Formation energy (no corrections) (eV per atom): 0.001
ΔE to the lowest computed polymorph (eV per formula unit): 0.36

extended XYZ file:
```
4
Lattice="3.002 0.000 0.000 0.000 3.012 -0.001 0.000 0.008 7.061" Properties=species:S:1:pos:R:3 pbc="T T T"
Si 0.000 0.759 3.869
Si 0.000 0.759 6.722
Cl 1.501 0.755 1.765
Os 1.501 2.265 5.296
```